[1]
Below is AgAs3Pb at its PBEsol-relaxed geometry, with properties calculated at the meta-GGA SCAN level.

a b c (Å): 4.9828 4.9828 4.9828
angles (deg): 90.00 90.00 90.00
With the nearest neighbours (Å) after each atom.
Sites, in units of the cell vectors:
Ag1 0.0000 0.0000 0.0000  6 As 2.49
As1 0.5000 0.0000 0.0000  2 Ag 2.49
As2 0.0000 0.5000 0.0000  2 Ag 2.49
As3 0.0000 0.0000 0.5000  2 Ag 2.49
Pb1 0.5000 0.5000 0.5000  12 As 3.52

For the formation energy, the calculation gives 0.734 eV/atom. Its magnetic moment is 0.000 μB per atom. The calculation puts the density of states at the Fermi level at 3.8 states/eV/cell.


[2]
Below is AgAsPbS3 at its PBEsol-relaxed geometry, with properties calculated at the meta-GGA SCAN level.

a b c (Å): 5.9104 7.2268 12.4569
angles (deg): 90.00 90.00 88.77
With the nearest neighbours (Å) after each atom.
Sites, in units of the cell vectors:
Pb1 0.2407 0.6664 0.4141  6 S 2.86-3.11
As1 0.7171 0.8545 0.5939  3 S 2.28-2.29
S1 0.2810 0.3384 0.5519  1 As 2.29
As2 0.2829 0.6455 0.0939  3 S 2.28-2.29
Pb2 0.7593 0.3336 0.5859  6 S 2.86-3.11
S2 0.0977 0.3497 0.8720  1 As 2.29, 2 Ag 2.43-2.47
As3 0.2829 0.1455 0.4061  3 S 2.28-2.29
Pb3 0.2407 0.1664 0.0859  6 S 2.86-3.11
S3 0.6205 0.1395 0.7816  1 As 2.28
Ag1 0.1994 0.1169 0.7345  3 S 2.43-2.57
S4 0.2810 0.8384 0.9481  1 As 2.29
Pb4 0.7593 0.8336 0.9141  6 S 2.86-3.11
S5 0.9023 0.1503 0.3720  1 As 2.29, 2 Ag 2.43-2.47
S6 0.6205 0.6395 0.7184  1 As 2.28
Ag2 0.8006 0.8831 0.2655  3 S 2.43-2.57
S7 0.7190 0.6616 0.4481  1 As 2.29
S8 0.3795 0.3605 0.2816  1 As 2.28
S9 0.3795 0.8605 0.2184  1 As 2.28
Ag3 0.1994 0.6169 0.7655  3 S 2.43-2.57
S10 0.7190 0.1616 0.0519  1 As 2.29
S11 0.9023 0.6503 0.1280  1 As 2.29, 2 Ag 2.43-2.47
S12 0.0977 0.8497 0.6280  1 As 2.29, 2 Ag 2.43-2.47
As4 0.7171 0.3545 0.9061  3 S 2.28-2.29
Ag4 0.8006 0.3831 0.2345  3 S 2.43-2.57

Its magnetic moment is 0.000 μB per atom. The raw formation energy comes out at -1.81 eV per formula unit.


[3]
Below is Ag3AsPd at its PBEsol-relaxed geometry, with properties calculated at the meta-GGA SCAN level.

a b c (Å): 4.8762 4.8762 4.8762
angles (deg): 90.00 90.00 90.00
With the nearest neighbours (Å) after each atom.
Sites, in units of the cell vectors:
Ag1 0.0000 0.5000 0.0000  2 Pd 2.44
Pd1 0.0000 0.0000 0.0000  6 Ag 2.44
Ag2 0.0000 0.0000 0.5000  2 Pd 2.44
Ag3 0.5000 0.0000 0.0000  2 Pd 2.44
As1 0.5000 0.5000 0.5000  12 Ag 3.45

For the formation energy, the calculation gives 0.980 eV/atom. Its magnetic moment is 0.001 μB per atom. The calculation puts the density of states at the Fermi level at 3.1 states/eV/cell.


[4]
Below is Ag2AsPt2 at its PBEsol-relaxed geometry, with properties calculated at the meta-GGA SCAN level.

a b c (Å): 4.2231 6.3725 6.3725
angles (deg): 90.00 90.00 90.00
With the nearest neighbours (Å) after each atom.
Sites, in units of the cell vectors:
As1 0.0000 0.5000 0.5000  4 Pt 2.43
Pt1 0.0000 0.8497 0.6503  2 As 2.43, 1 Pt 2.71
Ag1 0.5000 0.3451 0.1549  6 Pt 2.75-2.87, 1 Ag 2.79
Pt2 0.0000 0.6503 0.1503  2 As 2.43, 1 Pt 2.71
Ag2 0.5000 0.1549 0.6549  6 Pt 2.75-2.87, 1 Ag 2.79
Pt3 0.0000 0.3497 0.8497  2 As 2.43, 1 Pt 2.71
Ag3 0.5000 0.8451 0.3451  6 Pt 2.75-2.87, 1 Ag 2.79
Ag4 0.5000 0.6549 0.8451  6 Pt 2.75-2.87, 1 Ag 2.79
Pt4 0.0000 0.1503 0.3497  2 As 2.43, 1 Pt 2.71
As2 0.0000 0.0000 0.0000  4 Pt 2.43

For the formation energy, the calculation gives -0.030 eV/atom. Its magnetic moment is 0.000 μB per atom. The calculation puts the density of states at the Fermi level at 5.1 states/eV/cell.


| no. | E (eV/atom) |
| --- | --- |
| 1 | -32.8104 |
| 2 | -26.3389 |
| 3 | -28.4334 |
| 4 | -44.6925 |